1.
Below is a relaxed NiPPd3 crystal, with properties calculated at the PBEsol level.

The value obtained for the formation enthalpy at 0 K is 28 kJ/mol of atoms. For the density of states at the Fermi level, the calculation gives 2.201 states/eV/atom. For the theoretical density, the calculation gives 8177 kg/m³.

It has space group Pm-3m (No. 221), with a = 4.363 Å, b = 4.363 Å, c = 4.363 Å, α = 90.00°, β = 90.00° and γ = 90.00°. The distinct sites, in fractional coordinates, are Ni at (0.000, 0.000, 0.000), P at (0.500, 0.500, 0.500) and Pd at (0.000, 0.500, 0.500).


2.
Below is a relaxed AlReTe crystal, with properties calculated at the PBEsol level.

As for the energy above the most stable polymorph in this dataset: 0.1273 eV/atom. For the density of states at the Fermi level, the calculation gives 0.742 states/eV/atom. For the uncorrected formation energy, the calculation gives 0.5822 eV per atom. For the theoretical density, the calculation gives 10608 kg/m³.

It has space group P-6m2 (No. 187), with a = 4.6091 Å, b = 4.6091 Å, c = 2.8996 Å, α = 90.00°, β = 90.00° and γ = 120.00°. The distinct sites, in fractional coordinates, are Al at (0.0000, 0.0000, 0.0000), Re at (0.3333, 0.6667, 0.5000) and Te at (0.6667, 0.3333, 0.5000).


3.
Below is a relaxed ZrSi2As crystal, with properties calculated at the PBEsol level.

As for the energy above the most stable polymorph in this dataset: 0.2204 eV/atom. For the density of states at the Fermi level, the calculation gives 0.699 states/eV/atom. For the uncorrected formation energy, the calculation gives -0.0244 eV per atom. For the theoretical density, the calculation gives 5249 kg/m³.

It has space group R-3m (No. 166, hexagonal axes), with a = 3.2962 Å, b = 3.2962 Å, c = 22.4259 Å, α = 90.00°, β = 90.00° and γ = 120.00°. The distinct sites, in fractional coordinates, are Zr at (0.0000, 0.0000, 0.0000), Si at (0.0000, 0.0000, 0.2414) and As at (0.0000, 0.0000, 0.5000).


4.
Below is a relaxed Ba3MgO crystal, with properties calculated at the PBEsol level.

For the density of states at the Fermi level, the calculation gives 0.873 states/eV/atom. For the uncorrected formation energy, the calculation gives -1.0100 eV per atom. For the theoretical density, the calculation gives 4426 kg/m³.

It has space group Pm-3m (No. 221), with a = 5.536 Å, b = 5.536 Å, c = 5.536 Å, α = 90.00°, β = 90.00° and γ = 90.00°. The distinct sites, in fractional coordinates, are Ba at (0.000, 0.000, 0.500), Mg at (0.500, 0.500, 0.500) and O at (0.000, 0.000, 0.000).


5.
Below is a relaxed MgTaMn4 crystal, with properties calculated at the PBEsol level.

The value obtained for the formation enthalpy at 0 K is 0 kJ/mol of atoms. For the density of states at the Fermi level, the calculation gives 1.244 states/eV/atom. For the theoretical density, the calculation gives 9364 kg/m³.

It has space group F-43m (No. 216), with a = 6.705 Å, b = 6.705 Å, c = 6.705 Å, α = 90.00°, β = 90.00° and γ = 90.00°. The distinct sites, in fractional coordinates, are Mg at (0.000, 0.000, 0.000), Ta at (0.250, 0.250, 0.750) and Mn at (0.125, 0.125, 0.375).


6.
Below is a relaxed CsNi3P crystal, with properties calculated at the PBEsol level.

The value obtained for the formation enthalpy at 0 K is 218 kJ/mol of atoms. For the density of states at the Fermi level, the calculation gives 0.953 states/eV/atom. For the theoretical density, the calculation gives 5581 kg/m³.

It has space group Pm-3m (No. 221), with a = 4.659 Å, b = 4.659 Å, c = 4.659 Å, α = 90.00°, β = 90.00° and γ = 90.00°. The distinct sites, in fractional coordinates, are Cs at (0.000, 0.000, 0.000), Ni at (0.000, 0.000, 0.500) and P at (0.500, 0.500, 0.500).


7.
Below is a relaxed Ti2FePbF crystal, with properties calculated at the PBEsol level.

For the density of states at the Fermi level, the calculation gives 0.739 states/eV/atom. For the uncorrected formation energy, the calculation gives -0.1680 eV per atom. For the theoretical density, the calculation gives 7776 kg/m³.

It has space group P4/mmm (No. 123), with a = 4.636 Å, b = 4.636 Å, c = 3.753 Å, α = 90.00°, β = 90.00° and γ = 90.00°. The distinct sites, in fractional coordinates, are Ti at (0.000, 0.500, 0.000), Fe at (0.000, 0.000, 0.000), Pb at (0.500, 0.500, 0.500) and F at (0.000, 0.000, 0.500).


8.
Below is a relaxed BaBe2Cd crystal, with properties calculated at the PBEsol level.

The value obtained for the formation enthalpy at 0 K is 76 kJ/mol of atoms. For the density of states at the Fermi level, the calculation gives 0.543 states/eV/atom. For the theoretical density, the calculation gives 5388 kg/m³.

It has space group P4/mmm (No. 123), with a = 5.041 Å, b = 5.041 Å, c = 3.247 Å, α = 90.00°, β = 90.00° and γ = 90.00°. The distinct sites, in fractional coordinates, are Ba at (0.000, 0.000, 0.000), Be at (0.000, 0.500, 0.500) and Cd at (0.500, 0.500, 0.000).


9.
Below is a relaxed Li4MgHg crystal, with properties calculated at the PBEsol level.

The value obtained for the formation enthalpy at 0 K is -10 kJ/mol of atoms. For the density of states at the Fermi level, the calculation gives 0.411 states/eV/atom. For the theoretical density, the calculation gives 4090 kg/m³.

It has space group F-43m (No. 216), with a = 7.431 Å, b = 7.431 Å, c = 7.431 Å, α = 90.00°, β = 90.00° and γ = 90.00°. The distinct sites, in fractional coordinates, are Li at (0.124, 0.124, 0.124), Mg at (0.000, 0.000, 0.500) and Hg at (0.250, 0.250, 0.750).


10.
Below is a relaxed PbSe3 crystal, with properties calculated at the PBEsol level.

For the density of states at the Fermi level, the calculation gives 1.854 states/eV/atom. For the uncorrected formation energy, the calculation gives 0.7827 eV per atom. For the theoretical density, the calculation gives 4565 kg/m³.

It has space group Pm-3m (No. 221), with a = 5.446 Å, b = 5.446 Å, c = 5.446 Å, α = 90.00°, β = 90.00° and γ = 90.00°. The distinct sites, in fractional coordinates, are Pb at (0.000, 0.000, 0.000) and Se at (0.000, 0.000, 0.500).


11.
Below is a relaxed AlCuP2 crystal, with properties calculated at the PBEsol level.

The value obtained for the formation enthalpy at 0 K is 20 kJ/mol of atoms. For the density of states at the Fermi level, the calculation gives 0.427 states/eV/atom. For the theoretical density, the calculation gives 4453 kg/m³.

It has space group Cmmm (No. 65), with a = 3.539 Å, b = 4.700 Å, c = 6.838 Å, α = 90.00°, β = 90.00° and γ = 90.00°. The distinct sites, in fractional coordinates, are Al at (0.000, 0.000, 0.000), Cu at (0.000, 0.000, 0.500) and P at (0.000, 0.500, 0.260).


12.
Below is a relaxed MgBe2Te crystal, with properties calculated at the PBEsol level.

As for the energy above the most stable polymorph in this dataset: 0.0898 eV/atom. For the density of states at the Fermi level, the calculation gives 0.278 states/eV/atom. For the uncorrected formation energy, the calculation gives 0.5067 eV per atom. For the theoretical density, the calculation gives 4262 kg/m³.

It has space group C2/m (No. 12), with a = 5.465 Å, b = 6.719 Å, c = 3.606 Å, α = 90.00°, β = 90.17° and γ = 90.00°. The distinct sites, in fractional coordinates, are Mg at (0.000, 0.000, 0.000), Be at (0.250, 0.250, 0.500) and Te at (0.000, 0.500, 0.000).